A plane-wave DFT calculation with GGA-PBE was carried out for a relaxed Th4SbTe2Pb crystal.

Lattice parameters (Å, degrees): 7.7048 4.5618 7.8633 90.00 110.10 90.00
Space group P2/m (No. 10)
Unique sites:
1 Th 0.2485 0.0000 0.2463 (multiplicity 2)
2 Th 0.2513 0.5000 0.7539 (multiplicity 2)
3 Sb 0.0000 0.5000 0.0000 (multiplicity 1)
4 Te 0.5000 0.0000 0.0000 (multiplicity 1)
5 Te 0.5000 0.5000 0.5000 (multiplicity 1)
6 Pb 0.0000 0.0000 0.5000 (multiplicity 1)

Output
As for the volume: 260 Å³/cell. The value obtained for the uncorrected formation energy is -6.5 eV per formula unit. Its total magnetic moment is 0.00 μB per atom.